(1)
Material: Li9InGe2
Method: DFT, GGA-PBE
State: relaxed

Computed properties:
Fermi-level density of states in states/eV per cell: 5.06
M_tot in μB/cell: 0.715
Formation enthalpy at 0 K in eV per formula unit: -0.33

Structure (POSCAR):
```
Li9InGe2
1.0
2.629 1.518 8.700
-2.629 1.518 8.700
0.000 -3.036 8.700
Li In Ge
9 1 2
Cartesian
0.000 0.000 0.000
0.000 -1.453 6.750
-1.258 0.726 6.750
0.000 0.000 4.234
-1.258 -0.726 19.349
1.258 0.726 6.750
0.000 0.000 21.865
1.258 -0.726 19.349
0.000 1.453 19.349
0.000 0.000 13.049
0.000 0.000 9.139
0.000 0.000 16.960
```

(2)
Material: LiInGe2
Method: DFT, GGA-PBE
State: relaxed

Computed properties:
Fermi-level density of states in states/eV per cell: 1.30
M_tot in μB/cell: 0.000
Formation enthalpy at 0 K in eV per formula unit: 0.06

Structure (POSCAR):
```
LiInGe2
1.0
3.725 0.000 0.000
0.000 3.725 0.000
0.000 0.000 5.823
Li In Ge
1 1 2
Cartesian
0.000 0.000 0.000
0.000 0.000 2.911
1.863 1.863 1.446
1.863 1.863 4.377
```

(3)
Material: LiInGe
Method: DFT, GGA-PBE
State: relaxed

Computed properties:
Fermi-level density of states in states/eV per cell: 2.22
M_tot in μB/cell: 0.000
Formation enthalpy at 0 K in eV per formula unit: -0.38

Structure (POSCAR):
```
LiInGe
1.0
9.603 0.000 0.000
0.000 4.289 0.000
-1.855 0.000 5.835
Li In Ge
4 4 4
Cartesian
0.922 0.000 1.922
2.025 2.145 3.913
5.723 2.145 1.922
6.826 0.000 3.913
0.069 0.000 4.761
2.878 2.145 1.074
4.870 2.145 4.761
7.679 0.000 1.074
0.000 2.145 0.000
-0.928 2.145 2.918
4.802 0.000 0.000
3.874 0.000 2.918
```

(4)
Material: LiInGe
Method: DFT, GGA-PBE
State: relaxed

Computed properties:
Fermi-level density of states in states/eV per cell: 2.62
M_tot in μB/cell: 0.000
Formation enthalpy at 0 K in eV per formula unit: -0.21

Structure (POSCAR):
```
LiInGe
1.0
6.683 0.000 0.000
-1.953 6.401 0.000
-2.472 -3.112 5.885
Li In Ge
4 4 4
Cartesian
0.000 0.000 0.000
-2.465 3.433 3.056
1.789 3.654 1.765
3.296 -0.850 4.593
-1.768 1.906 5.372
-0.390 -1.105 5.266
1.647 -0.621 2.270
5.054 -0.176 2.405
-0.567 2.240 1.362
0.147 3.176 3.734
2.300 1.579 3.913
4.090 3.731 0.400
```

(5)
Material: Li5In2Ge
Method: DFT, GGA-PBE
State: relaxed

Computed properties:
Fermi-level density of states in states/eV per cell: 4.59
M_tot in μB/cell: 0.000
Formation enthalpy at 0 K in eV per formula unit: -2.35

Structure (POSCAR):
```
Li5In2Ge
1.0
4.552 0.000 0.000
0.000 4.552 0.000
0.000 0.000 13.431
Li In Ge
10 4 2
Cartesian
0.000 0.000 0.000
0.000 2.276 1.482
0.000 2.276 5.234
0.000 2.276 8.197
0.000 2.276 11.949
2.276 0.000 1.482
2.276 0.000 5.234
2.276 0.000 8.197
2.276 0.000 11.949
2.276 2.276 6.716
0.000 0.000 3.345
0.000 0.000 10.086
2.276 2.276 3.370
2.276 2.276 10.061
0.000 0.000 6.716
2.276 2.276 0.000
```

(6)
Material: Li4In3Ge
Method: DFT, GGA-PBE
State: relaxed

Computed properties:
Fermi-level density of states in states/eV per cell: 3.35
M_tot in μB/cell: 0.000
Formation enthalpy at 0 K in eV per formula unit: -1.98

Structure (POSCAR):
```
Li4In3Ge
1.0
3.460 0.000 0.000
0.000 3.460 0.000
0.000 0.000 12.652
Li In Ge
4 3 1
Cartesian
0.000 0.000 1.384
0.000 0.000 4.705
0.000 0.000 7.947
0.000 0.000 11.268
1.730 1.730 3.073
1.730 1.730 6.326
1.730 1.730 9.579
1.730 1.730 0.000
```

(7)
Material: LiInGe
Method: DFT, GGA-PBE
State: relaxed

Computed properties:
Fermi-level density of states in states/eV per cell: 1.69
M_tot in μB/cell: 0.000
Formation enthalpy at 0 K in eV per formula unit: -0.33

Structure (POSCAR):
```
LiInGe
1.0
-2.267 7.014 3.180
2.267 -7.014 3.180
2.267 7.014 -3.180
Li In Ge
3 3 3
Cartesian
0.000 0.000 0.000
2.267 2.343 -0.131
0.000 4.671 3.049
2.267 -2.452 3.071
0.000 0.000 3.149
2.267 2.452 3.071
2.267 4.725 -1.707
0.000 2.289 1.472
0.000 7.014 1.562
```

(8)
Material: LiInGe
Method: DFT, GGA-PBE
State: relaxed

Computed properties:
Fermi-level density of states in states/eV per cell: 0.53
M_tot in μB/cell: 0.000
Formation enthalpy at 0 K in eV per formula unit: -0.35

Structure (POSCAR):
```
LiInGe
1.0
2.264 1.307 7.521
-2.264 1.307 7.521
0.000 -2.614 7.521
Li In Ge
2 2 2
Cartesian
0.000 0.000 2.857
0.000 0.000 19.706
0.000 0.000 8.559
0.000 0.000 14.004
0.000 0.000 5.563
0.000 0.000 17.000
```

(9)
Material: LiInGeN2
Method: DFT, GGA-PBE
State: relaxed

Computed properties:
Energy relative to the elements, uncorrected in eV per atom: 1.4336
Fermi-level density of states in states/eV per cell: 1.91
M_tot in μB/cell: 1.852

Structure (POSCAR):
```
LiInGeN2
1.0
4.071 0.000 0.000
0.000 4.071 0.000
0.000 0.000 4.334
Li In Ge N
1 1 1 2
Cartesian
0.000 0.000 0.000
2.036 2.036 2.167
0.000 0.000 2.167
0.000 2.036 0.000
2.036 0.000 0.000
```

(10)
Material: LiInGeO4
Method: DFT, GGA-PBE
State: relaxed

Computed properties:
Energy relative to the elements, uncorrected in eV per atom: -1.7757
Fermi-level density of states in states/eV per cell: 0.00
M_tot in μB/cell: 0.000
E above lowest polymorph in meV per atom: 0.0

Structure (POSCAR):
```
LiInGeO4
1.0
10.896 0.000 0.000
0.000 6.166 0.000
0.000 0.000 5.069
Li In Ge O
4 4 4 16
Cartesian
0.000 0.000 0.000
0.000 3.083 0.000
5.448 0.000 2.534
5.448 3.083 2.534
2.483 1.542 2.497
2.965 4.625 5.031
7.930 1.542 0.038
8.413 4.625 2.572
0.948 4.625 2.238
4.500 1.542 4.773
6.396 4.625 0.296
9.948 1.542 2.831
0.642 1.542 3.602
1.024 4.625 3.983
1.809 3.281 1.382
1.809 5.969 1.382
3.639 0.198 3.917
3.639 2.886 3.917
4.424 1.542 1.449
4.806 4.625 1.067
6.090 1.542 4.002
6.472 4.625 3.620
7.257 3.281 1.152
7.257 5.969 1.152
9.086 0.198 3.687
9.086 2.886 3.687
9.872 1.542 1.086
10.254 4.625 1.467
```

(11)
Material: Li2InGeO4
Method: DFT, GGA-PBE
State: relaxed

Computed properties:
Energy relative to the elements, uncorrected in eV per atom: -1.6322
Fermi-level density of states in states/eV per cell: 0.78
M_tot in μB/cell: 0.000

Structure (POSCAR):
```
Li2InGeO4
1.0
10.663 0.000 0.000
0.000 3.533 0.000
-1.196 0.000 5.400
Li In Ge O
4 2 2 8
Cartesian
0.000 0.000 0.000
2.339 1.767 1.187
5.331 1.767 0.000
7.671 0.000 1.187
1.835 0.000 3.939
7.167 1.767 3.939
4.769 0.000 2.479
10.100 1.767 2.479
-0.266 0.000 3.361
0.337 1.767 0.948
2.219 1.767 4.962
2.961 0.000 2.121
5.066 1.767 3.361
5.668 0.000 0.948
7.551 0.000 4.962
8.292 1.767 2.121
```

(12)
Material: LiInGe2O6
Method: DFT, GGA-PBE
State: relaxed

Computed properties:
Energy relative to the elements, uncorrected in eV per atom: -1.7324
Fermi-level density of states in states/eV per cell: 0.00
M_tot in μB/cell: 0.000

Structure (POSCAR):
```
LiInGe2O6
1.0
5.076 -4.690 0.000
5.076 4.690 0.000
-1.829 0.000 5.303
Li In Ge O
2 2 4 12
Cartesian
3.705 2.472 3.978
4.619 -2.472 1.326
4.619 3.686 1.326
3.705 -3.686 3.978
2.588 0.818 1.425
1.673 -0.818 4.076
6.651 0.818 1.227
5.737 -0.818 3.879
0.905 0.758 0.805
3.114 2.353 2.054
-0.009 -0.758 3.456
3.652 0.420 0.049
6.124 2.353 0.598
2.737 -0.420 2.701
5.587 0.420 2.603
2.200 -2.353 4.705
4.673 -0.420 5.254
8.334 0.758 1.847
5.210 -2.353 3.250
7.419 -0.758 4.499
```

Copy entry 2 word for word.
Material: LiInGe2
Method: DFT, GGA-PBE
State: relaxed

Computed properties:
Fermi-level density of states in states/eV per cell: 1.30
M_tot in μB/cell: 0.000
Formation enthalpy at 0 K in eV per formula unit: 0.06

Structure (POSCAR):
```
LiInGe2
1.0
3.725 0.000 0.000
0.000 3.725 0.000
0.000 0.000 5.823
Li In Ge
1 1 2
Cartesian
0.000 0.000 0.000
0.000 0.000 2.911
1.863 1.863 1.446
1.863 1.863 4.377
```

Which value of M_tot does entry 1 give?
0.715 μB/cell